The following is a PBE-GGA calculation of MgGaRe2 after structural relaxation, from the Alexandria database.

Lattice parameters (Å, degrees): 4.403 4.403 4.403 60.00 60.00 60.00
Fractional coordinates of all 4 atoms:
Re1 0.750 0.750 0.750
Ga1 0.500 0.500 0.500
Mg1 0.000 0.000 0.000
Re2 0.250 0.250 0.250

Results
Its relative energy among the computed polymorphs is 0 meV per atom. The size of the total moment is 0.000 μB per formula unit. The space-group type is Fm-3m, No. 225. Its formation energy is 0.59 eV/atom. Its density is 12.83 g/cm³.